No. 1
## SrYIrRu2 (GGA-PBE)

Data for an optimized crystal structure of SrYIrRu2.

a = 4.8408 Å, b = 5.2715 Å, c = 4.8408 Å
α = 90.00°, β = 90.00°, γ = 90.00°
Sites, in units of the cell vectors:
Ru (0.0000, 0.0000, 0.5000)
Y (0.5000, 0.5000, 0.5000)
Ir (0.0000, 0.0000, 0.0000)
Sr (0.0000, 0.5000, 0.0000)
Ru (0.5000, 0.0000, 0.0000)

Calculated values
space-group type: No. 123
VASP energy: -6.300 eV per atom

No. 2
## Ba2FeSe (GGA-PBE)

Data for an optimized crystal structure of Ba2FeSe.

a = 6.4802 Å, b = 6.4802 Å, c = 4.9264 Å
α = 94.24°, β = 94.24°, γ = 40.10°
Site moments in Bohr magnetons follow the coordinates.
Sites, in units of the cell vectors:
Se (0.2980, 0.2980, 0.1742)  0.04
Ba (0.7385, 0.7385, 0.6521)  -0.12
Ba (0.0113, 0.0113, 0.1120)  -0.15
Fe (0.4521, 0.4521, 0.5618)  2.79

Calculated values
energy relative to the elements, uncorrected: -0.4225 eV per atom
space-group type: No. 8

No. 3
## ZrTe2Pt (GGA-PBE)

Data for an optimized crystal structure of ZrTe2Pt.

a = 3.7146 Å, b = 3.7869 Å, c = 6.9912 Å
α = 68.66°, β = 90.00°, γ = 90.00°
Sites, in units of the cell vectors:
Te (0.0000, 0.6256, 0.5006)
Pt (0.5000, 0.7500, 0.7500)
Te (0.0000, 0.8744, 0.9994)
Zr (0.5000, 0.2500, 0.2500)

Calculated values
energy relative to the elements, uncorrected: -0.4271 eV per atom
space-group type: No. 10

No. 4
## YMgInAu2 (GGA-PBE)

Data for an optimized crystal structure of YMgInAu2.

a = 5.1857 Å, b = 5.6605 Å, c = 5.1857 Å
α = 90.00°, β = 90.00°, γ = 90.00°
Sites, in units of the cell vectors:
Au (0.5000, 0.0000, 0.0000)
Au (0.0000, 0.0000, 0.5000)
Y (0.0000, 0.5000, 0.0000)
In (0.0000, 0.0000, 0.0000)
Mg (0.5000, 0.5000, 0.5000)

Calculated values
space-group type: No. 123
VASP energy: -3.117 eV per atom

No. 5
## CoAg3 (GGA-PBE)

Data for an optimized crystal structure of CoAg3.

a = 9.4891 Å, b = 9.4891 Å, c = 9.4891 Å
α = 17.18°, β = 17.18°, γ = 17.18°
Site moments in Bohr magnetons follow the coordinates.
Sites, in units of the cell vectors:
Ag (0.4950, 0.4950, 0.4950)  0.00
Ag (0.2500, 0.2500, 0.2500)  0.01
Ag (0.0050, 0.0050, 0.0050)  0.00
Co (0.7500, 0.7500, 0.7500)  1.79

Calculated values
space-group type: No. 166
VASP energy: -3.617 eV per atom

No. 6
## RbSr2TlRh (GGA-PBE)

Data for an optimized crystal structure of RbSr2TlRh.

a = 5.9047 Å, b = 5.9047 Å, c = 5.5235 Å
α = 90.00°, β = 90.00°, γ = 90.00°
Sites, in units of the cell vectors:
Rb (0.5000, 0.5000, 0.5000)
Sr (0.0000, 0.5000, 0.0000)
Sr (0.5000, 0.0000, 0.0000)
Tl (0.0000, 0.0000, 0.5000)
Rh (0.0000, 0.0000, 0.0000)

Calculated values
space-group type: No. 123
VASP energy: -2.946 eV per atom

No. 7
## Y2MgSi (GGA-PBE)

Data for an optimized crystal structure of Y2MgSi.

a = 3.3585 Å, b = 3.3585 Å, c = 8.8000 Å
α = 90.00°, β = 90.00°, γ = 89.99°
Sites, in units of the cell vectors:
Mg (0.5000, 0.5000, 0.2500)
Si (0.5000, 0.5000, 0.7500)
Y (0.0000, 0.0000, 0.5395)
Y (0.0000, 0.0000, 0.9605)

Calculated values
energy relative to the elements, uncorrected: -0.3001 eV per atom
space-group type: No. 123

No. 8
## Pr12Si3Te5 (GGA-PBE)

Data for an optimized crystal structure of Pr12Si3Te5.

a = 15.7065 Å, b = 15.7065 Å, c = 15.7065 Å
α = 109.47°, β = 109.47°, γ = 109.47°
Sites, in units of the cell vectors:
Pr (0.6434, 0.5799, 0.9148)
Te (0.8750, 0.2500, 0.6250)
Te (0.6250, 0.8750, 0.2500)
Pr (0.2714, 0.4148, 0.8349)
Pr (0.7714, 0.4366, 0.3566)
Si (0.7500, 0.8750, 0.6250)
Pr (0.0852, 0.1651, 0.2286)
Pr (0.4148, 0.2714, 0.3349)
Si (0.6250, 0.3750, 0.7500)
Pr (0.0634, 0.6434, 0.7286)
Te (0.5000, 0.0000, 0.5000)
Si (0.1250, 0.8750, 0.7500)
Pr (0.0799, 0.1651, 0.4366)
Pr (0.2286, 0.6651, 0.0852)
Pr (0.1434, 0.4148, 0.0799)
Pr (0.5852, 0.7286, 0.6651)
Pr (0.2286, 0.5634, 0.6434)
Si (0.2500, 0.6250, 0.8750)
Pr (0.9201, 0.8349, 0.5634)
Pr (0.5634, 0.3349, 0.9201)
Te (0.0000, 0.0000, 0.0000)
Pr (0.2714, 0.8566, 0.9366)
Te (0.8750, 0.6250, 0.7500)
Pr (0.0799, 0.9148, 0.1434)
Te (0.1250, 0.3750, 0.2500)
Pr (0.9148, 0.8349, 0.7714)
Te (0.7500, 0.1250, 0.8750)
Pr (0.8566, 0.2714, 0.4366)
Pr (0.1434, 0.7286, 0.5634)
Te (0.2500, 0.8750, 0.1250)
Pr (0.6651, 0.2286, 0.5852)
Te (0.0000, 0.5000, 0.5000)
Te (0.3750, 0.2500, 0.1250)
Pr (0.4366, 0.6651, 0.0799)
Pr (0.9366, 0.3566, 0.2714)
Pr (0.9148, 0.0799, 0.6434)
Pr (0.9366, 0.5799, 0.1651)
Si (0.1250, 0.2500, 0.8750)
Pr (0.3349, 0.5634, 0.4201)
Si (0.8750, 0.1250, 0.2500)
Si (0.2500, 0.1250, 0.3750)
Te (0.0000, 0.0000, 0.5000)
Pr (0.8349, 0.9201, 0.0634)
Te (0.7500, 0.6250, 0.3750)
Pr (0.5799, 0.6434, 0.4148)
Pr (0.3566, 0.9366, 0.7714)
Pr (0.5799, 0.9366, 0.6651)
Si (0.7500, 0.3750, 0.1250)
Te (0.6250, 0.7500, 0.8750)
Pr (0.8566, 0.5852, 0.9201)
Pr (0.7286, 0.5852, 0.1651)
Pr (0.3566, 0.4201, 0.0852)
Pr (0.4201, 0.0634, 0.3349)
Pr (0.6651, 0.4366, 0.5799)
Pr (0.9201, 0.0852, 0.8566)
Si (0.6250, 0.2500, 0.3750)
Pr (0.1651, 0.0852, 0.7286)
Pr (0.4201, 0.3566, 0.5852)
Te (0.5000, 0.0000, 0.0000)
Pr (0.1651, 0.0799, 0.9366)
Si (0.8750, 0.7500, 0.1250)
Te (0.3750, 0.1250, 0.7500)
Pr (0.0852, 0.9201, 0.3566)
Te (0.0000, 0.5000, 0.0000)
Pr (0.7714, 0.3349, 0.9148)
Te (0.5000, 0.5000, 0.0000)
Te (0.5000, 0.5000, 0.5000)
Si (0.3750, 0.6250, 0.2500)
Pr (0.0634, 0.4201, 0.8349)
Te (0.1250, 0.7500, 0.3750)
Pr (0.3349, 0.7714, 0.4148)
Pr (0.7286, 0.1434, 0.0634)
Si (0.3750, 0.7500, 0.6250)
Pr (0.6434, 0.0634, 0.2286)
Pr (0.5634, 0.2286, 0.1434)
Pr (0.4148, 0.1434, 0.5799)
Pr (0.8349, 0.9148, 0.2714)
Te (0.2500, 0.3750, 0.6250)
Pr (0.4366, 0.7714, 0.8566)
Pr (0.5852, 0.8566, 0.4201)

Calculated values
energy relative to the elements, uncorrected: -0.5190 eV per atom
space-group type: No. 230

Calculated DOS(E_F) (states/eV per cell), listed in the same order as above: 4.4, 5.3, 2.4, 4.9, 3.9, 3.5, 3.8, 88.7
Calculated total magnetization (μB/atom), listed in the same order as above: 0.0000, 0.5291, 0.0000, 0.0000, 0.4331, 0.0026, 0.0001, 0.0001